This record from Alexandria via LeMat-Bulk describes a relaxed structure of ScGa3Tc. The functional is GGA-PBE.

Values from the calculation:
Total magnetization   0.000 μB/atom
DOS(E_F)   2.840 states/eV/f.u.
ΔH_f (0 K)   0.029 eV/atom
E_tot   -5.13 eV per atom
Polymorph energy (0 for the lowest one)   0.0 meV/atom
Density   5.5 g cm⁻³

Unit cell a=4.7360 b=4.7360 c=4.7360 alpha=90.00 beta=90.00 gamma=90.00
Positions (direct):
Ga 0.0000 0.5000 0.0000
Ga 0.0000 0.0000 0.5000
Ga 0.5000 0.0000 0.0000
Tc 0.0000 0.0000 0.0000
Sc 0.5000 0.5000 0.5000



This record from Alexandria via LeMat-Bulk describes a relaxed structure of CrSi2Hg. The functional is GGA-PBE.

Values from the calculation:
Total magnetization   0.461 μB/atom
DOS(E_F)   2.600 states/eV/f.u.
E_tot   -4.67 eV per atom
Energy relative to the elements, uncorrected   0.53 eV/atom
Density   7.9 g cm⁻³

Unit cell a=5.1943 b=5.1943 c=5.1943 alpha=144.50 beta=126.11 gamma=66.21
Positions (direct):
Cr 0.7500 0.2500 0.5000
Hg 0.2500 0.7500 0.5000
Si 0.5294 0.5294 0.0000
Si 0.9706 0.9706 0.0000



This record from Alexandria via LeMat-Bulk describes a relaxed structure of Rb2Re2C. The functional is GGA-PBE.

Values from the calculation:
Total magnetization   0.280 μB/atom
DOS(E_F)   6.086 states/eV/f.u.
ΔH_f (0 K)   2.544 eV/atom
E_tot   -4.67 eV per atom
Density   5.8 g cm⁻³

Unit cell a=10.6399 b=10.6399 c=2.8093 alpha=90.00 beta=90.00 gamma=90.00
Positions (direct):
Re 0.5728 0.9272 0.5000
Re 0.4272 0.0728 0.5000
Re 0.9272 0.4272 0.5000
Re 0.0728 0.5728 0.5000
Rb 0.2902 0.7902 0.0000
Rb 0.7902 0.7098 0.0000
Rb 0.2098 0.2902 0.0000
Rb 0.7098 0.2098 0.0000
C 0.0000 0.0000 0.0000
C 0.5000 0.5000 0.0000



This record from Alexandria via LeMat-Bulk describes a relaxed structure of SrCd2Te. The functional is GGA-PBE.

Values from the calculation:
Total magnetization   0.000 μB/atom
DOS(E_F)   1.170 states/eV/f.u.
E_tot   -2.25 eV per atom
Energy relative to the elements, uncorrected   -0.59 eV/atom
Density   5.7 g cm⁻³

Unit cell a=7.0320 b=7.0320 c=4.5179 alpha=71.69 beta=71.69 gamma=37.50
Positions (direct):
Sr 0.7500 0.7500 0.7500
Cd 0.9998 0.9998 0.0010
Cd 0.5002 0.5002 0.4990
Te 0.2500 0.2500 0.2500



This record from Alexandria via LeMat-Bulk describes a relaxed structure of Ba2CoCu. The functional is GGA-PBE.

Values from the calculation:
Total magnetization   0.191 μB/atom
DOS(E_F)   5.396 states/eV/f.u.
ΔH_f (0 K)   0.494 eV/atom
E_tot   -3.27 eV per atom
Polymorph energy (0 for the lowest one)   259.3 meV/atom
Density   4.8 g cm⁻³

Unit cell a=4.4860 b=4.4860 c=8.3329 alpha=74.07 beta=74.07 gamma=60.62
Positions (direct):
Ba 0.9951 0.9951 0.0145
Ba 0.5049 0.5049 0.4855
Cu 0.7500 0.7500 0.7500
Co 0.2500 0.2500 0.2500



This record from Alexandria via LeMat-Bulk describes a relaxed structure of CsLi2AgPt. The functional is GGA-PBE.

Values from the calculation:
Total magnetization   0.000 μB/atom
DOS(E_F)   1.736 states/eV/f.u.
ΔH_f (0 K)   -0.069 eV/atom
E_tot   -2.78 eV per atom
Density   5.5 g cm⁻³

Unit cell a=5.0220 b=5.0220 c=5.4005 alpha=90.00 beta=90.00 gamma=90.00
Positions (direct):
Ag 0.0000 0.0000 0.5000
Li 0.5000 0.0000 0.0000
Li 0.0000 0.5000 0.0000
Pt 0.0000 0.0000 0.0000
Cs 0.5000 0.5000 0.5000



This record from Alexandria via LeMat-Bulk describes a relaxed structure of Hf2PaGe. The functional is GGA-PBE.

Values from the calculation:
Total magnetization   0.000 μB/atom
DOS(E_F)   4.404 states/eV/f.u.
ΔH_f (0 K)   -0.213 eV/atom
E_tot   -8.72 eV per atom
Polymorph energy (0 for the lowest one)   0.0 meV/atom
Density   13.1 g cm⁻³

Unit cell a=4.0745 b=4.5308 c=4.5308 alpha=90.00 beta=90.00 gamma=90.00
Positions (direct):
Pa 0.5000 0.5000 0.5000
Hf 0.0000 0.5000 0.0000
Hf 0.0000 0.0000 0.5000
Ge 0.5000 0.0000 0.0000



This record from Alexandria via LeMat-Bulk describes a relaxed structure of TbCe2Hg4. The functional is GGA-PBE.

Values from the calculation:
Total magnetization   0.339 μB/atom
DOS(E_F)   19.106 states/eV/f.u.
ΔH_f (0 K)   -0.225 eV/atom
E_tot   -2.75 eV per atom
Polymorph energy (0 for the lowest one)   0.0 meV/atom
Density   9.9 g cm⁻³

Unit cell a=5.2167 b=5.2167 c=9.3537 alpha=73.81 beta=73.81 gamma=60.00
Positions (direct):
Hg 0.8741 0.8741 0.3777
Hg 0.1259 0.1259 0.6223
Hg 0.3725 0.3725 0.8826
Hg 0.6275 0.6275 0.1174
Ce 0.2454 0.2454 0.2637
Ce 0.7546 0.7546 0.7363
Tb 0.0000 0.0000 0.0000